[1]
DFT (PBE-GGA) results for a relaxed structure of CuBIr2.

It has space group R-3m (No. 166, hexagonal axes), with a = 2.7687 Å, b = 2.7687 Å, c = 22.1816 Å, α = 90.00°, β = 90.00° and γ = 120.00°. Symmetry generates all atoms from Cu at (0.0000, 0.0000, 0.0000), B at (0.0000, 0.0000, 0.5000) and Ir at (0.0000, 0.0000, 0.2347).

The density of states at the Fermi level is 0.618 states/eV/atom. For the formation energy, the calculation gives -0.030 eV/atom.

---

[2]
DFT (PBE-GGA) results for a relaxed structure of ZnCu2PbF.

It has space group P4/mmm (No. 123), with a = 4.755 Å, b = 4.755 Å, c = 4.079 Å, α = 90.00°, β = 90.00° and γ = 90.00°. Symmetry generates all atoms from Zn at (0.000, 0.000, 0.000), Cu at (0.000, 0.500, 0.000), Pb at (0.500, 0.500, 0.500) and F at (0.000, 0.000, 0.500).

The density of states at the Fermi level is 0.378 states/eV/atom. The calculation puts the formation energy (no corrections) at -0.1039 eV per atom.